Entry 1:
This record from Alexandria describes a PBEsol-optimized structure of SiSb2PIr. The functional is meta-GGA SCAN.

```
SiSb2PIr
1.0
4.4307 0.0000 0.0000
0.0000 5.1895 0.0000
0.0000 0.0000 5.1895
Sb P Ir Si
2 1 1 1
Cartesian
0.0000 2.5947 0.0000 Sb
0.0000 0.0000 2.5947 Sb
2.2154 2.5947 2.5947 P
0.0000 0.0000 0.0000 Ir
2.2154 0.0000 0.0000 Si
```

Volume, A^3/atom: 23.9
Formation energy without anion corrections, eV/atom: 0.616



Entry 2:
This record from Alexandria describes a PBEsol-optimized structure of Sc2PIr. The functional is meta-GGA SCAN.

```
Sc2PIr
1.0
-1.0100 -5.6254 -0.5708
5.4333 1.8317 -0.3399
-1.7102 1.3129 5.3238
Sc Ir P
4 2 2
Cartesian
0.8031 -0.7671 2.3213 Sc
1.5586 1.7539 5.0391 Sc
3.0158 -2.6622 1.8641 Sc
0.0487 -3.2863 -0.3983 Sc
0.0000 0.0000 0.0000 Ir
2.9674 0.6239 2.2643 Ir
-0.2543 -3.1047 2.1488 P
2.2117 -1.8969 -0.4553 P
```

Volume, A^3/atom: 17.9
Calculated formation energy, eV per atom: -0.626



Entry 3:
This record from Alexandria describes a PBEsol-optimized structure of Sc2PIr. The functional is meta-GGA SCAN.

```
Sc2PIr
1.0
3.4445 0.0000 0.0000
1.7222 2.9830 0.0000
1.7222 0.9943 8.4290
P Sc Ir
1 2 1
Cartesian
0.0000 0.0000 0.0000 P
1.7222 0.9943 5.8697 Sc
5.1667 2.9830 2.5593 Sc
3.4445 1.9887 4.2145 Ir
```

Volume, A^3/atom: 21.7
Calculated formation energy, eV per atom: -0.257



Entry 4:
This record from Alexandria describes a PBEsol-optimized structure of SiP2Ir. The functional is meta-GGA SCAN.

```
SiP2Ir
1.0
-3.4865 -0.1595 3.8671
3.6998 -1.6655 3.2670
1.0381 5.8822 -2.3300
Si P Ir
2 4 2
Cartesian
-1.1709 2.4051 2.5521 Si
0.1067 -0.9125 3.5671 Si
0.7990 4.1864 -0.8612 P
0.9181 3.2683 2.7168 P
2.1953 -0.0463 3.7198 P
-1.4096 0.7062 4.0329 P
0.0000 0.0000 0.0000 Ir
2.4223 1.6521 2.2520 Ir
```

Volume, A^3/atom: 17.8
Formation energy without anion corrections, eV/atom: -0.317



Entry 5:
This record from Alexandria describes a PBEsol-optimized structure of Si3P3Ir. The functional is meta-GGA SCAN.

```
Si3P3Ir
1.0
-1.6580 2.9140 3.5629
-4.0189 0.3672 -2.7922
0.3032 -5.0783 1.9816
P Si Ir
3 3 1
Cartesian
-2.3212 -1.7384 3.8874 P
-3.0634 -0.0697 -1.1048 P
-1.7705 1.3551 2.3724 P
-2.0973 -1.8961 1.6225 Si
-3.6083 -3.1210 0.3384 Si
-3.2548 0.0965 1.1898 Si
-5.5170 0.7386 1.7493 Ir
```

Volume, A^3/atom: 16.5
Formation energy without anion corrections, eV/atom: -0.440



Entry 6:
This record from Alexandria describes a PBEsol-optimized structure of SiP2Ir. The functional is meta-GGA SCAN.

```
SiP2Ir
1.0
2.7822 0.0000 0.0000
0.0000 4.0073 0.0000
-1.3911 -2.0037 5.2602
Ir P Si
1 2 1
Cartesian
0.0000 2.0037 2.4600 Ir
1.3911 2.0037 4.7179 P
1.3911 0.0000 2.9524 P
1.3911 2.0037 0.3900 Si
```

Volume, A^3/atom: 14.7
Formation energy without anion corrections, eV/atom: 0.346



Entry 7:
This record from Alexandria describes a PBEsol-optimized structure of SiP2Ir. The functional is meta-GGA SCAN.

```
SiP2Ir
1.0
-0.4349 1.2936 -2.5331
-2.6321 0.7882 0.8544
2.4579 5.5775 2.4264
P Si Ir
2 1 1
Cartesian
1.8262 4.1442 1.8028 P
0.6317 1.4334 0.6236 P
-1.5335 1.0409 -0.8393 Si
-0.3046 3.8297 0.3739 Ir
```

Volume, A^3/atom: 13.6
Formation energy without anion corrections, eV/atom: 0.435



Entry 8:
This record from Alexandria describes a PBEsol-optimized structure of SiP2Ir. The functional is meta-GGA SCAN.

```
SiP2Ir
1.0
-1.9468 -1.8811 0.6054
0.7515 -2.0819 -4.0522
2.8516 -1.6599 4.0122
P Ir Si
2 1 1
Cartesian
0.9269 -2.5309 1.4722 P
3.2574 -3.4525 -0.2527 P
0.9517 -3.2781 -0.7699 Ir
0.4894 -1.1360 -1.9562 Si
```

Volume, A^3/atom: 14.9
Formation energy without anion corrections, eV/atom: -0.232



Entry 9:
This record from Alexandria describes a PBEsol-optimized structure of SmP2Ir2. The functional is meta-GGA SCAN.

```
SmP2Ir2
1.0
4.1026 0.0000 0.0000
0.0000 4.1026 0.0000
0.0000 0.0000 9.5337
P Ir Sm
4 4 2
Cartesian
0.0000 0.0000 0.0000 P
2.0513 0.0000 3.4324 P
0.0000 2.0513 6.1013 P
2.0513 2.0513 0.0000 P
0.0000 0.0000 4.7669 Ir
2.0513 2.0513 4.7669 Ir
0.0000 2.0513 8.4383 Ir
2.0513 0.0000 1.0954 Ir
0.0000 2.0513 2.3165 Sm
2.0513 0.0000 7.2173 Sm
```

Volume, A^3/atom: 16.0
Calculated formation energy, eV per atom: -1.161



Entry 10:
This record from Alexandria describes a PBEsol-optimized structure of SrP2Ir. The functional is meta-GGA SCAN.

```
SrP2Ir
1.0
-3.3047 2.1663 -0.1306
-2.0627 -3.0614 1.4155
3.4544 1.8773 3.5729
P Ir Sr
2 1 1
Cartesian
0.0000 0.0000 0.0000 P
-0.6460 -0.8158 2.8154 P
-1.2670 1.7980 2.0424 Ir
-2.6837 -0.4476 0.6425 Sr
```

Volume, A^3/atom: 17.7
Calculated formation energy, eV per atom: 0.315



Entry 11:
This record from Alexandria describes a PBEsol-optimized structure of SrPIr2. The functional is meta-GGA SCAN.

```
SrPIr2
1.0
-1.0145 -2.4033 -0.9294
-1.4404 -1.1601 4.5740
-3.1149 3.9587 -2.6617
Ir P Sr
2 1 1
Cartesian
-2.7849 0.1977 0.4915 Ir
-1.5575 1.9793 -1.3308 Ir
-1.2275 -1.7817 1.8223 P
0.0000 0.0000 0.0000 Sr
```

Volume, A^3/atom: 16.8
Calculated formation energy, eV per atom: 0.368



Entry 12:
This record from Alexandria describes a PBEsol-optimized structure of Sr2PIr. The functional is meta-GGA SCAN.

```
Sr2PIr
1.0
4.3568 0.0000 0.0000
0.0000 4.6592 0.0000
0.0000 -2.3296 5.0122
P Ir Sr
1 1 2
Cartesian
2.1784 2.3296 0.8630 P
0.0000 2.3296 1.6582 Ir
0.0000 2.3296 4.7721 Sr
2.1784 0.0000 2.7357 Sr
```

Volume, A^3/atom: 25.4
Calculated formation energy, eV per atom: -0.815



Entry 13:
This record from Alexandria describes a PBEsol-optimized structure of Sr2PIr. The functional is meta-GGA SCAN.

```
Sr2PIr
1.0
4.1002 0.0000 0.0000
2.0501 3.5509 0.0000
2.0501 1.1836 8.0875
Sr Ir P
2 1 1
Cartesian
6.1503 3.5509 0.9782 Sr
6.1503 3.5509 5.0872 Sr
4.1002 2.3673 3.0297 Ir
2.0501 1.1836 3.0362 P
```

Volume, A^3/atom: 29.4
Calculated formation energy, eV per atom: -0.781



Entry 14:
This record from Alexandria describes a PBEsol-optimized structure of Sr2PIr. The functional is meta-GGA SCAN.

```
Sr2PIr
1.0
-1.9138 1.4466 -3.5757
-2.5781 -3.4487 -0.0153
-4.0356 3.0019 3.3745
Sr P Ir
2 1 1
Cartesian
-3.5315 2.6269 2.9529 Sr
-3.7591 0.1245 -0.5303 Sr
-5.7767 1.6252 1.1568 P
-1.5137 1.1260 1.2657 Ir
```

Volume, A^3/atom: 28.1
Calculated formation energy, eV per atom: -0.017



Entry 15:
This record from Alexandria describes a PBEsol-optimized structure of TaP2Ir. The functional is meta-GGA SCAN.

```
TaP2Ir
1.0
-0.3487 1.4810 2.6385
-2.7386 0.9749 -0.9091
-2.5151 -4.8414 2.3850
P Ta Ir
2 1 1
Cartesian
-1.9071 -3.6710 1.8085 P
-0.6080 -1.1704 0.5766 P
-1.5437 1.2279 0.8647 Ta
-2.8012 -1.1928 2.0572 Ir
```

Volume, A^3/atom: 13.8
Calculated formation energy, eV per atom: -0.119



Entry 16:
This record from Alexandria describes a PBEsol-optimized structure of TaP2Ir. The functional is meta-GGA SCAN.

```
TaP2Ir
1.0
-0.2930 -0.4158 -4.2291
3.0900 -1.9773 -2.1648
-0.7193 -3.8305 -1.7186
P Ta Ir
2 1 1
Cartesian
1.5582 -4.6677 -6.0844 P
0.5194 -1.5559 -2.0281 P
0.0000 0.0000 0.0000 Ta
1.0388 -3.1118 -4.0562 Ir
```

Volume, A^3/atom: 13.7
Calculated formation energy, eV per atom: -0.207



Entry 17:
This record from Alexandria describes a PBEsol-optimized structure of TaPIr3. The functional is meta-GGA SCAN.

```
TaPIr3
1.0
4.7095 0.0000 0.0000
0.0000 4.7095 0.0000
0.0000 0.0000 4.7095
P Ta Ir
1 1 3
Cartesian
2.3548 2.3548 2.3548 P
0.0000 0.0000 0.0000 Ta
2.3548 0.0000 0.0000 Ir
0.0000 2.3548 0.0000 Ir
0.0000 0.0000 2.3548 Ir
```

Volume, A^3/atom: 20.9
Calculated formation energy, eV per atom: 2.006



Entry 18:
This record from Alexandria describes a PBEsol-optimized structure of TaP2Ir. The functional is meta-GGA SCAN.

```
TaP2Ir
1.0
2.9137 0.0000 0.0000
1.4569 2.5233 0.0000
1.4569 0.8411 7.7472
P Ta Ir
2 1 1
Cartesian
4.3706 2.5233 5.8994 P
1.4569 0.8411 1.8478 P
2.9137 1.6822 3.8736 Ta
0.0000 0.0000 0.0000 Ir
```

Volume, A^3/atom: 14.2
Calculated formation energy, eV per atom: 0.008



Entry 19:
This record from Alexandria describes a PBEsol-optimized structure of Tb14P24Ir33. The functional is meta-GGA SCAN.

```
Tb14P24Ir33
1.0
3.8934 0.0000 0.0000
1.9467 11.7470 -0.0064
1.9467 1.8613 24.6016
Ir P Tb
33 24 14
Cartesian
3.8934 10.7485 22.2304 Ir
1.9467 1.4633 18.9570 Ir
3.8934 6.8396 21.8206 Ir
3.8934 9.2844 9.1939 Ir
3.8934 4.1019 21.3865 Ir
1.9467 10.4964 1.5417 Ir
3.8934 6.7610 12.2403 Ir
1.9467 3.8525 9.9163 Ir
5.8401 10.7948 7.8996 Ir
5.8401 12.3516 11.3880 Ir
3.8934 11.7379 -0.0019 Ir
1.9467 2.4162 6.0017 Ir
3.8934 2.8723 2.3658 Ir
3.8934 1.7897 15.1031 Ir
3.8934 9.1940 18.2716 Ir
5.8401 7.1637 17.9162 Ir
1.9467 6.4600 6.7389 Ir
3.8934 4.4179 6.3230 Ir
1.9467 2.9523 16.6193 Ir
3.8934 9.5112 3.2415 Ir
1.9467 5.5447 13.7986 Ir
1.9467 6.2324 0.9006 Ir
1.9467 7.8933 4.3511 Ir
3.8934 6.7886 2.7806 Ir
5.8401 5.7093 20.2771 Ir
3.8934 0.4331 5.5913 Ir
1.9467 1.2373 13.2357 Ir
5.8401 11.1810 18.6187 Ir
5.8401 9.6241 14.6469 Ir
3.8934 4.5346 15.4741 Ir
5.8401 7.3799 23.7019 Ir
5.8401 3.1011 23.0704 Ir
5.8401 8.0362 10.7151 Ir
3.8934 1.0923 0.9260 P
3.8934 8.6787 23.1653 P
3.8934 2.6041 4.6547 P
3.8934 11.0363 19.9407 P
5.8401 5.3831 22.5343 P
5.8401 9.3362 16.9401 P
3.8934 4.9409 1.4387 P
3.8934 12.0335 7.0975 P
1.9467 3.1244 20.5169 P
1.9467 5.6744 11.3389 P
5.8401 5.5058 16.3602 P
5.8401 10.4831 4.0843 P
3.8934 12.5129 23.6859 P
5.8401 10.4441 10.1674 P
1.9467 8.1682 8.2902 P
1.9467 8.2191 2.0850 P
3.8934 7.0702 19.4159 P
1.9467 3.2570 14.3577 P
3.8934 1.5691 17.4835 P
5.8401 7.8778 13.1706 P
1.9467 1.7487 10.8817 P
5.8401 11.7019 13.7260 P
3.8934 6.5434 5.1936 P
1.9467 4.2676 7.6463 P
3.8934 3.6481 12.3071 Tb
3.8934 9.2637 6.2086 Tb
5.8401 12.9017 21.4654 Tb
3.8934 4.9706 24.5689 Tb
3.8934 11.4968 16.1157 Tb
5.8401 8.8728 20.7708 Tb
3.8934 9.9026 12.2154 Tb
3.8934 7.4788 15.4072 Tb
1.9467 0.7169 3.1258 Tb
3.8934 8.6326 0.0414 Tb
3.8934 4.3340 18.4371 Tb
3.8934 1.9851 8.5349 Tb
3.8934 6.1726 9.1559 Tb
1.9467 4.7446 3.8314 Tb
```

Volume, A^3/atom: 15.8
Calculated formation energy, eV per atom: -1.108



Entry 20:
This record from Alexandria describes a PBEsol-optimized structure of TcPIr2. The functional is meta-GGA SCAN.

```
TcPIr2
1.0
-1.4836 -2.1286 0.9603
3.0465 -2.7556 -1.4014
2.9056 1.3920 3.5891
Ir P Tc
2 1 1
Cartesian
2.5256 -2.9970 1.2440 Ir
1.9429 -0.4951 1.9040 Ir
0.7815 -2.4421 -0.2206 P
0.0000 0.0000 0.0000 Tc
```

Volume, A^3/atom: 13.9
Calculated formation energy, eV per atom: -0.070